[1]
Compound: CrCu2Mo
Source: the Alexandria database
Functional: PBE
Structure: relaxed

## Properties
* calculated volume: 157 Å³/cell
* formation energy: 0.40 eV/atom
* energy above the lowest structure with this stoichiometry: 196 meV/atom

Cell lengths 2.6065, 2.6065, 26.7338 Å; angles 90.00, 90.00, 120.00 degrees
Space group R-3m (No. 166, hexagonal axes)
Symmetry-distinct sites (fractional):
Cr  0.0000  0.0000  0.0000 [3 per cell]
Cu  0.0000  0.0000  0.2533 [6 per cell]
Mo  0.0000  0.0000  0.5000 [3 per cell]

[2]
Compound: CrCu2Mo
Source: the Alexandria database
Functional: PBE
Structure: relaxed

## Properties
* calculated volume: 52 Å³/cell
* formation energy: 0.28 eV/atom
* energy above the lowest structure with this stoichiometry: 79 meV/atom

Cell lengths 2.5013, 4.2318, 4.9514 Å; angles 90.00, 99.77, 90.00 degrees
Space group P2/m (No. 10)
Symmetry-distinct sites (fractional):
Cr  0.0000  0.0000  0.0000 [1 per cell]
Cu  0.4645  0.5000  0.2429 [2 per cell]
Mo  0.0000  0.0000  0.5000 [1 per cell]

[3]
Compound: CrCu2Mo
Source: the Alexandria database
Functional: PBE
Structure: relaxed

## Properties
* calculated volume: 104 Å³/cell
* formation energy: 0.30 eV/atom
* energy above the lowest structure with this stoichiometry: 98 meV/atom

Cell lengths 8.6391, 2.5117, 4.8229 Å; angles 90.00, 95.88, 90.00 degrees
Space group Cm (No. 8)
Symmetry-distinct sites (fractional):
Cr  0.0000  0.0000  0.0000 [2 per cell]
Cu  0.2428  0.5000  0.2594 [2 per cell]
Cu  0.4888  0.0000  0.4819 [2 per cell]
Mo  0.2378  0.0000  0.7571 [2 per cell]

[4]
Compound: CrCu4Mo
Source: the Alexandria database
Functional: PBE
Structure: relaxed

## Properties
* calculated volume: 312 Å³/cell
* formation energy: 0.26 eV/atom

Cell lengths 6.7852, 6.7852, 6.7852 Å; angles 90.00, 90.00, 90.00 degrees
Space group F-43m (No. 216)
Symmetry-distinct sites (fractional):
Cr  0.0000  0.0000  0.0000 [4 per cell]
Cu  0.1252  0.1252  0.3748 [16 per cell]
Mo  0.2500  0.2500  0.7500 [4 per cell]

[5]
Compound: CrCu2Mo
Source: the Alexandria database
Functional: PBE
Structure: relaxed

## Properties
* calculated volume: 300 Å³/cell
* formation energy: 1.99 eV/atom
* energy above the lowest structure with this stoichiometry: 1786 meV/atom

Cell lengths 5.3330, 5.3330, 10.5499 Å; angles 90.00, 90.00, 90.00 degrees
Space group I-42d (No. 122)
Symmetry-distinct sites (fractional):
Cr  0.0000  0.0000  0.0000 [4 per cell]
Cu  0.2304  0.2500  0.1250 [8 per cell]
Mo  0.0000  0.0000  0.5000 [4 per cell]

[6]
Compound: CrCu2Mo
Source: the Alexandria database
Functional: PBE
Structure: relaxed

## Properties
* calculated volume: 53 Å³/cell
* formation energy: 0.26 eV/atom
* energy above the lowest structure with this stoichiometry: 55 meV/atom

Cell lengths 3.0901, 3.0901, 5.5109 Å; angles 90.00, 90.00, 90.00 degrees
Space group P4mm (No. 99)
Symmetry-distinct sites (fractional):
Cr  0.0000  0.0000  0.0000 [1 per cell]
Cu  0.0000  0.0000  0.4846 [1 per cell]
Cu  0.5000  0.5000  0.2680 [1 per cell]
Mo  0.5000  0.5000  0.7716 [1 per cell]

[7]
Compound: Cr3CuMo
Source: the Alexandria database
Functional: PBE
Structure: relaxed

## Properties
* calculated volume: 100 Å³/cell
* formation energy: 1.57 eV/atom
* energy above the lowest structure with this stoichiometry: 65 meV/atom

Cell lengths 4.6421, 4.6421, 4.6421 Å; angles 90.00, 90.00, 90.00 degrees
Space group Pm-3m (No. 221)
Symmetry-distinct sites (fractional):
Cr  0.0000  0.0000  0.5000 [3 per cell]
Cu  0.5000  0.5000  0.5000 [1 per cell]
Mo  0.0000  0.0000  0.0000 [1 per cell]

[8]
Compound: CrCu2Mo
Source: the Alexandria database
Functional: PBE
Structure: relaxed

## Properties
* calculated volume: 52 Å³/cell
* formation energy: 0.24 eV/atom
* energy above the lowest structure with this stoichiometry: 39 meV/atom

Cell lengths 2.5039, 4.1911, 4.9646 Å; angles 90.00, 95.57, 90.00 degrees
Space group Pm (No. 6)
Symmetry-distinct sites (fractional):
Cr  0.0000  0.0000  0.0000 [1 per cell]
Cu  0.6101  0.0000  0.4881 [1 per cell]
Cu  0.6254  0.5000  0.2380 [1 per cell]
Mo  0.2054  0.5000  0.7391 [1 per cell]

[9]
Compound: Cr3CuMo
Source: the Alexandria database
Functional: PBE
Structure: relaxed

## Properties
* calculated volume: 88 Å³/cell
* formation energy: 1.50 eV/atom
* energy above the lowest structure with this stoichiometry: 0 meV/atom

Cell lengths 4.4445, 4.4445, 4.4445 Å; angles 90.00, 90.00, 90.00 degrees
Space group Pm-3m (No. 221)
Symmetry-distinct sites (fractional):
Cr  0.0000  0.0000  0.5000 [3 per cell]
Cu  0.0000  0.0000  0.0000 [1 per cell]
Mo  0.5000  0.5000  0.5000 [1 per cell]

[10]
Compound: CrCuMo
Source: the Alexandria database
Functional: PBE
Structure: relaxed

## Properties
* calculated volume: 80 Å³/cell
* formation energy: 0.31 eV/atom
* energy above the lowest structure with this stoichiometry: 45 meV/atom

Cell lengths 2.4719, 4.0685, 7.9771 Å; angles 90.00, 90.00, 90.00 degrees
Space group Imm2 (No. 44)
Symmetry-distinct sites (fractional):
Cr  0.0000  0.0000  0.0000 [2 per cell]
Cu  0.0000  0.0000  0.6596 [2 per cell]
Mo  0.0000  0.0000  0.3272 [2 per cell]

[11]
Compound: CrCu2Mo
Source: the Alexandria database
Functional: PBE
Structure: relaxed

## Properties
* calculated volume: 52 Å³/cell
* formation energy: 0.29 eV/atom
* energy above the lowest structure with this stoichiometry: 84 meV/atom

Cell lengths 2.5220, 3.8350, 5.4015 Å; angles 90.00, 90.00, 90.00 degrees
Space group Pmm2 (No. 25)
Symmetry-distinct sites (fractional):
Cr  0.0000  0.0000  0.0000 [1 per cell]
Cu  0.0000  0.0000  0.4751 [1 per cell]
Cu  0.5000  0.5000  0.2504 [1 per cell]
Mo  0.5000  0.5000  0.7499 [1 per cell]

[12]
Compound: Cr4CuMo
Source: the Alexandria database
Functional: PBE
Structure: relaxed

## Properties
* calculated volume: 303 Å³/cell
* formation energy: 0.20 eV/atom

Cell lengths 6.7161, 6.7161, 6.7161 Å; angles 90.00, 90.00, 90.00 degrees
Space group F-43m (No. 216)
Symmetry-distinct sites (fractional):
Cr  0.1242  0.1242  0.3758 [16 per cell]
Cu  0.2500  0.2500  0.7500 [4 per cell]
Mo  0.0000  0.0000  0.0000 [4 per cell]